(1)
# Y2TlCuIr (PBEsol, relaxed)
data_Y2TlCuIr
_symmetry_space_group_name_H-M 'P 4/m m m'
_symmetry_Int_Tables_number 123
_symmetry_space_group_name_Hall '-P 4 2'
_cell_length_a 5.247
_cell_length_b 5.247
_cell_length_c 5.105
_cell_angle_alpha 90.00
_cell_angle_beta 90.00
_cell_angle_gamma 90.00
loop_
_atom_site_label
_atom_site_fract_x
_atom_site_fract_y
_atom_site_fract_z
Y1 0.000 0.500 0.000
Tl1 0.000 0.000 0.500
Cu1 0.500 0.500 0.500
Ir1 0.000 0.000 0.000
# Density of states at the Fermi level (states/eV/f.u.): 2.5
# Calculated formation energy (kJ/mol of formula units): 51
# Raw total energy (eV/atom): -5.9816


(2)
# Cu2IrW (PBEsol, relaxed)
data_Cu2IrW
_symmetry_space_group_name_H-M 'P m m 2'
_symmetry_Int_Tables_number 25
_cell_length_a 2.710
_cell_length_b 3.771
_cell_length_c 5.236
_cell_angle_alpha 90.00
_cell_angle_beta 90.00
_cell_angle_gamma 90.00
loop_
_symmetry_equiv_pos_as_xyz
'x,y,z'
'-x,-y,z'
'-x,y,z'
'x,-y,z'
loop_
_atom_site_label
_atom_site_fract_x
_atom_site_fract_y
_atom_site_fract_z
Cu1 0.000 0.000 0.000
Cu2 0.500 0.500 0.214
Ir1 0.000 0.000 0.493
W1 0.500 0.500 0.722
# Density of states at the Fermi level (states/eV/f.u.): 2.9
# Calculated formation energy (kJ/mol of formula units): 31
# Energy above the lowest structure with this stoichiometry (eV per atom): 0.000
# Raw total energy (eV/atom): -7.9946


(3)
# Cu2IrW (PBEsol, relaxed)
data_Cu2IrW
_symmetry_space_group_name_H-M 'I m m 2'
_symmetry_Int_Tables_number 44
_cell_length_a 2.959
_cell_length_b 4.246
_cell_length_c 8.253
_cell_angle_alpha 90.00
_cell_angle_beta 90.00
_cell_angle_gamma 90.00
loop_
_symmetry_equiv_pos_as_xyz
'x,y,z'
'-x,-y,z'
'-x,y,z'
'x,-y,z'
'x+1/2,y+1/2,z+1/2'
'-x+1/2,-y+1/2,z+1/2'
'-x+1/2,y+1/2,z+1/2'
'x+1/2,-y+1/2,z+1/2'
loop_
_atom_site_label
_atom_site_fract_x
_atom_site_fract_y
_atom_site_fract_z
Cu1 0.000 0.000 0.000
Cu2 0.000 0.500 0.279
Ir1 0.000 0.500 0.754
W1 0.000 0.000 0.523
# Density of states at the Fermi level (states/eV/f.u.): 2.4
# Calculated formation energy (kJ/mol of formula units): 62
# Energy above the lowest structure with this stoichiometry (eV per atom): 0.081
# Raw total energy (eV/atom): -7.9133


(4)
# Cu2IrW (PBEsol, relaxed)
data_Cu2IrW
_symmetry_space_group_name_H-M 'I -4 m 2'
_symmetry_Int_Tables_number 119
_symmetry_space_group_name_Hall 'I -4 -2'
_cell_length_a 3.765
_cell_length_b 3.765
_cell_length_c 7.411
_cell_angle_alpha 90.00
_cell_angle_beta 90.00
_cell_angle_gamma 90.00
loop_
_atom_site_label
_atom_site_fract_x
_atom_site_fract_y
_atom_site_fract_z
Cu1 0.000 0.000 0.000
Cu2 0.000 0.500 0.250
Ir1 0.000 0.000 0.500
W1 0.000 0.500 0.750
# Density of states at the Fermi level (states/eV/f.u.): 2.9
# Calculated formation energy (kJ/mol of formula units): 33
# Energy above the lowest structure with this stoichiometry (eV per atom): 0.005
# Raw total energy (eV/atom): -7.9896


(5)
# Cu2Ir2W (PBEsol, relaxed)
data_Cu2Ir2W
_symmetry_space_group_name_H-M 'I 4/m m m'
_symmetry_Int_Tables_number 139
_symmetry_space_group_name_Hall '-I 4 2'
_cell_length_a 3.190
_cell_length_b 3.190
_cell_length_c 14.030
_cell_angle_alpha 90.00
_cell_angle_beta 90.00
_cell_angle_gamma 90.00
loop_
_atom_site_label
_atom_site_fract_x
_atom_site_fract_y
_atom_site_fract_z
Cu1 0.000 0.500 0.250
Ir1 0.000 0.000 0.100
W1 0.000 0.000 0.500
# Density of states at the Fermi level (states/eV/f.u.): 4.7
# Calculated formation energy (kJ/mol of formula units): 170
# Raw total energy (eV/atom): -8.0728


(6)
# Y2CuIr (PBEsol, relaxed)
data_Y2CuIr
_symmetry_space_group_name_H-M 'P m m 2'
_symmetry_Int_Tables_number 25
_cell_length_a 3.917
_cell_length_b 3.929
_cell_length_c 5.654
_cell_angle_alpha 90.00
_cell_angle_beta 90.00
_cell_angle_gamma 90.00
loop_
_symmetry_equiv_pos_as_xyz
'x,y,z'
'-x,-y,z'
'-x,y,z'
'x,-y,z'
loop_
_atom_site_label
_atom_site_fract_x
_atom_site_fract_y
_atom_site_fract_z
Y1 0.000 0.000 0.000
Y2 0.500 0.500 0.418
Cu1 0.500 0.500 0.902
Ir1 0.000 0.000 0.494
# Density of states at the Fermi level (states/eV/f.u.): 3.0
# Calculated formation energy (kJ/mol of formula units): -98
# Raw total energy (eV/atom): -7.2032


(7)
# Y2CuIr (PBEsol, relaxed)
data_Y2CuIr
_symmetry_space_group_name_H-M 'I m m 2'
_symmetry_Int_Tables_number 44
_cell_length_a 3.479
_cell_length_b 4.512
_cell_length_c 10.217
_cell_angle_alpha 90.00
_cell_angle_beta 90.00
_cell_angle_gamma 90.00
loop_
_symmetry_equiv_pos_as_xyz
'x,y,z'
'-x,-y,z'
'-x,y,z'
'x,-y,z'
'x+1/2,y+1/2,z+1/2'
'-x+1/2,-y+1/2,z+1/2'
'-x+1/2,y+1/2,z+1/2'
'x+1/2,-y+1/2,z+1/2'
loop_
_atom_site_label
_atom_site_fract_x
_atom_site_fract_y
_atom_site_fract_z
Y1 0.000 0.000 0.000
Y2 0.000 0.500 0.215
Cu1 0.000 0.500 0.787
Ir1 0.000 0.000 0.473
# Density of states at the Fermi level (states/eV/f.u.): 3.1
# Calculated formation energy (kJ/mol of formula units): -130
# Raw total energy (eV/atom): -7.2872


(8)
# Y2CuIr (PBEsol, relaxed)
data_Y2CuIr
_symmetry_space_group_name_H-M 'F m -3 m'
_symmetry_Int_Tables_number 225
_symmetry_space_group_name_Hall '-F 4 2 3'
_cell_length_a 6.794
_cell_length_b 6.794
_cell_length_c 6.794
_cell_angle_alpha 90.00
_cell_angle_beta 90.00
_cell_angle_gamma 90.00
loop_
_atom_site_label
_atom_site_fract_x
_atom_site_fract_y
_atom_site_fract_z
Y1 0.250 0.250 0.250
Cu1 0.000 0.000 0.000
Ir1 0.000 0.000 0.500
# Density of states at the Fermi level (states/eV/f.u.): 2.5
# Calculated formation energy (kJ/mol of formula units): -215
# Raw total energy (eV/atom): -7.5083


(9)
# YCuIr (PBEsol, relaxed)
data_YCuIr
_symmetry_space_group_name_H-M 'I m m 2'
_symmetry_Int_Tables_number 44
_cell_length_a 3.134
_cell_length_b 3.655
_cell_length_c 8.953
_cell_angle_alpha 90.00
_cell_angle_beta 90.00
_cell_angle_gamma 90.00
loop_
_symmetry_equiv_pos_as_xyz
'x,y,z'
'-x,-y,z'
'-x,y,z'
'x,-y,z'
'x+1/2,y+1/2,z+1/2'
'-x+1/2,-y+1/2,z+1/2'
'-x+1/2,y+1/2,z+1/2'
'x+1/2,-y+1/2,z+1/2'
loop_
_atom_site_label
_atom_site_fract_x
_atom_site_fract_y
_atom_site_fract_z
Y1 0.000 0.000 0.000
Cu1 0.000 0.000 0.694
Ir1 0.000 0.000 0.321
# Density of states at the Fermi level (states/eV/f.u.): 1.8
# Calculated formation energy (kJ/mol of formula units): -80
# Raw total energy (eV/atom): -7.2682


(10)
# Zn2CuIr (PBEsol, relaxed)
data_Zn2CuIr
_symmetry_space_group_name_H-M 'I 4/m m m'
_symmetry_Int_Tables_number 139
_symmetry_space_group_name_Hall '-I 4 2'
_cell_length_a 3.864
_cell_length_b 3.864
_cell_length_c 6.950
_cell_angle_alpha 90.00
_cell_angle_beta 90.00
_cell_angle_gamma 90.00
loop_
_atom_site_label
_atom_site_fract_x
_atom_site_fract_y
_atom_site_fract_z
Zn1 0.000 0.500 0.250
Cu1 0.000 0.000 0.000
Ir1 0.000 0.000 0.500
# Density of states at the Fermi level (states/eV/f.u.): 1.1
# Calculated formation energy (kJ/mol of formula units): -64
# Raw total energy (eV/atom): -4.4969


(11)
# Zn2CuIr (PBEsol, relaxed)
data_Zn2CuIr
_symmetry_space_group_name_H-M 'F m -3 m'
_symmetry_Int_Tables_number 225
_symmetry_space_group_name_Hall '-F 4 2 3'
_cell_length_a 5.924
_cell_length_b 5.924
_cell_length_c 5.924
_cell_angle_alpha 90.00
_cell_angle_beta 90.00
_cell_angle_gamma 90.00
loop_
_atom_site_label
_atom_site_fract_x
_atom_site_fract_y
_atom_site_fract_z
Zn1 0.250 0.250 0.250
Cu1 0.000 0.000 0.000
Ir1 0.000 0.000 0.500
# Density of states at the Fermi level (states/eV/f.u.): 1.4
# Calculated formation energy (kJ/mol of formula units): -56
# Raw total energy (eV/atom): -4.4746


(12)
# ZnCu2Ir (PBEsol, relaxed)
data_ZnCu2Ir
_symmetry_space_group_name_H-M 'P m m 2'
_symmetry_Int_Tables_number 25
_cell_length_a 2.665
_cell_length_b 3.573
_cell_length_c 5.276
_cell_angle_alpha 90.00
_cell_angle_beta 90.00
_cell_angle_gamma 90.00
loop_
_symmetry_equiv_pos_as_xyz
'x,y,z'
'-x,-y,z'
'-x,y,z'
'x,-y,z'
loop_
_atom_site_label
_atom_site_fract_x
_atom_site_fract_y
_atom_site_fract_z
Zn1 0.000 0.000 0.000
Cu1 0.000 0.000 0.486
Cu2 0.500 0.500 0.250
Ir1 0.500 0.500 0.743
# Density of states at the Fermi level (states/eV/f.u.): 2.5
# Calculated formation energy (kJ/mol of formula units): 0
# Raw total energy (eV/atom): -5.0184


(13)
# Zn2CuIr (PBEsol, relaxed)
data_Zn2CuIr
_symmetry_space_group_name_H-M 'I m m 2'
_symmetry_Int_Tables_number 44
_cell_length_a 2.988
_cell_length_b 4.125
_cell_length_c 8.430
_cell_angle_alpha 90.00
_cell_angle_beta 90.00
_cell_angle_gamma 90.00
loop_
_symmetry_equiv_pos_as_xyz
'x,y,z'
'-x,-y,z'
'-x,y,z'
'x,-y,z'
'x+1/2,y+1/2,z+1/2'
'-x+1/2,-y+1/2,z+1/2'
'-x+1/2,y+1/2,z+1/2'
'x+1/2,-y+1/2,z+1/2'
loop_
_atom_site_label
_atom_site_fract_x
_atom_site_fract_y
_atom_site_fract_z
Zn1 0.000 0.000 0.000
Zn2 0.000 0.500 0.249
Cu1 0.000 0.500 0.739
Ir1 0.000 0.000 0.495
# Density of states at the Fermi level (states/eV/f.u.): 1.4
# Calculated formation energy (kJ/mol of formula units): -45
# Raw total energy (eV/atom): -4.4477


(14)
# Zn2CuIr (PBEsol, relaxed)
data_Zn2CuIr
_symmetry_space_group_name_H-M 'I -4 m 2'
_symmetry_Int_Tables_number 119
_symmetry_space_group_name_Hall 'I -4 -2'
_cell_length_a 3.710
_cell_length_b 3.710
_cell_length_c 7.562
_cell_angle_alpha 90.00
_cell_angle_beta 90.00
_cell_angle_gamma 90.00
loop_
_atom_site_label
_atom_site_fract_x
_atom_site_fract_y
_atom_site_fract_z
Zn1 0.000 0.000 0.000
Zn2 0.000 0.500 0.250
Cu1 0.000 0.000 0.500
Ir1 0.000 0.500 0.750
# Density of states at the Fermi level (states/eV/f.u.): 1.6
# Calculated formation energy (kJ/mol of formula units): -40
# Raw total energy (eV/atom): -4.4352


(15)
# Zn2CuIr (PBEsol, relaxed)
data_Zn2CuIr
_symmetry_space_group_name_H-M 'P 4/m m m'
_symmetry_Int_Tables_number 123
_symmetry_space_group_name_Hall '-P 4 2'
_cell_length_a 3.028
_cell_length_b 3.028
_cell_length_c 5.623
_cell_angle_alpha 90.00
_cell_angle_beta 90.00
_cell_angle_gamma 90.00
loop_
_atom_site_label
_atom_site_fract_x
_atom_site_fract_y
_atom_site_fract_z
Zn1 0.000 0.000 0.243
Cu1 0.500 0.500 0.000
Ir1 0.500 0.500 0.500
# Density of states at the Fermi level (states/eV/f.u.): 1.3
# Calculated formation energy (kJ/mol of formula units): -54
# Raw total energy (eV/atom): -4.4700


(16)
# ZnCu2Ir (PBEsol, relaxed)
data_ZnCu2Ir
_symmetry_space_group_name_H-M 'I m m 2'
_symmetry_Int_Tables_number 44
_cell_length_a 2.902
_cell_length_b 4.169
_cell_length_c 8.243
_cell_angle_alpha 90.00
_cell_angle_beta 90.00
_cell_angle_gamma 90.00
loop_
_symmetry_equiv_pos_as_xyz
'x,y,z'
'-x,-y,z'
'-x,y,z'
'x,-y,z'
'x+1/2,y+1/2,z+1/2'
'-x+1/2,-y+1/2,z+1/2'
'-x+1/2,y+1/2,z+1/2'
'x+1/2,-y+1/2,z+1/2'
loop_
_atom_site_label
_atom_site_fract_x
_atom_site_fract_y
_atom_site_fract_z
Zn1 0.000 0.000 0.000
Cu1 0.000 0.000 0.520
Cu2 0.000 0.500 0.259
Ir1 0.000 0.500 0.759
# Density of states at the Fermi level (states/eV/f.u.): 1.9
# Calculated formation energy (kJ/mol of formula units): -4
# Raw total energy (eV/atom): -5.0294


(17)
# Zn2CuIr (PBEsol, relaxed)
data_Zn2CuIr
_symmetry_space_group_name_H-M 'R -3 m'
_symmetry_Int_Tables_number 166
_symmetry_space_group_name_Hall '-R 3 2"'
_cell_length_a 2.7223
_cell_length_b 2.7223
_cell_length_c 24.6861
_cell_angle_alpha 90.00
_cell_angle_beta 90.00
_cell_angle_gamma 120.00
loop_
_atom_site_label
_atom_site_fract_x
_atom_site_fract_y
_atom_site_fract_z
Zn1 0.0000 0.0000 0.2478
Cu1 0.0000 0.0000 0.5000
Ir1 0.0000 0.0000 0.0000
# Density of states at the Fermi level (states/eV/f.u.): 1.8
# Calculated formation energy (kJ/mol of formula units): -36
# Raw total energy (eV/atom): -4.4226


(18)
# ZnCu2Ir (PBEsol, relaxed)
data_ZnCu2Ir
_symmetry_space_group_name_H-M 'C m m m'
_symmetry_Int_Tables_number 65
_symmetry_space_group_name_Hall '-C 2 2'
_cell_length_a 5.192
_cell_length_b 7.030
_cell_length_c 2.755
_cell_angle_alpha 90.00
_cell_angle_beta 90.00
_cell_angle_gamma 90.00
loop_
_atom_site_label
_atom_site_fract_x
_atom_site_fract_y
_atom_site_fract_z
Zn1 0.000 0.000 0.000
Cu1 0.250 0.250 0.500
Ir1 0.000 0.500 0.000
# Density of states at the Fermi level (states/eV/f.u.): 1.8
# Calculated formation energy (kJ/mol of formula units): -10
# Raw total energy (eV/atom): -5.0432


(19)
# Zn2CuIr (PBEsol, relaxed)
data_Zn2CuIr
_symmetry_space_group_name_H-M 'C m m m'
_symmetry_Int_Tables_number 65
_symmetry_space_group_name_Hall '-C 2 2'
_cell_length_a 5.462
_cell_length_b 6.523
_cell_length_c 2.923
_cell_angle_alpha 90.00
_cell_angle_beta 90.00
_cell_angle_gamma 90.00
loop_
_atom_site_label
_atom_site_fract_x
_atom_site_fract_y
_atom_site_fract_z
Zn1 0.250 0.250 0.000
Cu1 0.000 0.000 0.500
Ir1 0.000 0.500 0.500
# Density of states at the Fermi level (states/eV/f.u.): 1.1
# Calculated formation energy (kJ/mol of formula units): -71
# Raw total energy (eV/atom): -4.5155


(20)
# ZnCu2Ir (PBEsol, relaxed)
data_ZnCu2Ir
_symmetry_space_group_name_H-M 'C 1 m 1'
_symmetry_Int_Tables_number 8
_cell_length_a 4.598
_cell_length_b 2.658
_cell_length_c 8.472
_cell_angle_alpha 90.00
_cell_angle_beta 100.69
_cell_angle_gamma 90.00
loop_
_symmetry_equiv_pos_as_xyz
'x,y,z'
'x,-y,z'
'x+1/2,y+1/2,z'
'x+1/2,-y+1/2,z'
loop_
_atom_site_label
_atom_site_fract_x
_atom_site_fract_y
_atom_site_fract_z
Zn1 0.000 0.000 0.000
Cu1 0.249 0.500 0.246
Cu2 0.495 0.000 0.484
Ir1 0.247 0.000 0.741
# Density of states at the Fermi level (states/eV/f.u.): 2.7
# Calculated formation energy (kJ/mol of formula units): -1
# Raw total energy (eV/atom): -5.0218